VASP calculation (PBE) on MgMnAlMo after structural relaxation.

```
4
Lattice="4.316 0.000 0.000 2.158 3.738 0.000 2.158 1.246 3.524" Properties=species:S:1:pos:R:3 pbc="T T T"
Mg 6.474 3.738 2.643
Mo 0.000 0.000 0.000
Mn 2.158 1.246 0.881
Al 4.316 2.492 1.762
```

Output
Energy of formation in meV per atom: 34
Total energy in eV per atom: -6.301
Space group: No. 216
Crystal system: cubic

=====

VASP calculation (PBE) on MgMnAlNi after structural relaxation.

```
4
Lattice="-1.781 -0.544 3.877 -0.343 -3.947 1.675 2.447 -1.135 3.351" Properties=species:S:1:pos:R:3 pbc="T T T"
Ni 0.000 0.000 0.000
Mg 0.081 -1.407 2.226
Mn 0.161 -2.813 4.451
Al 0.242 -4.220 6.677
```

Output
Energy of formation in meV per atom: -142
Total energy in eV per atom: -5.214
Space group: No. 216
Crystal system: cubic